# 1
# TbY2Mg PBE-GGA optimized geometry
data_TbY2Mg
_chemical_formula_sum 'Tb1 Y2 Mg1'
_space_group_name_H-M_alt 'P 1'
_space_group_IT_number 1
_cell_length_a 5.524
_cell_length_b 5.524
_cell_length_c 5.524
_cell_angle_alpha 60.00
_cell_angle_beta 60.00
_cell_angle_gamma 60.00
loop_
_space_group_symop_operation_xyz
'x,y,z'
loop_
_atom_site_label
_atom_site_type_symbol
_atom_site_fract_x
_atom_site_fract_y
_atom_site_fract_z
_atom_site_occupancy
Tb1 Tb 0.000 0.000 0.000 1
Y1 Y 0.250 0.250 0.250 1
Y2 Y 0.750 0.750 0.750 1
Mg1 Mg 0.500 0.500 0.500 1
# Calculated density   5.03 g/cm³
# Energy of formation   56.8 meV per atom
# Energy   -18.93 eV/f.u.

***

# 2
# DyIn2Ir PBE-GGA optimized geometry
data_DyIn2Ir
_chemical_formula_sum 'Dy8 In16 Ir8'
_space_group_name_H-M_alt 'P 1'
_space_group_IT_number 1
_cell_length_a 15.488
_cell_length_b 8.277
_cell_length_c 5.566
_cell_angle_alpha 90.00
_cell_angle_beta 90.00
_cell_angle_gamma 90.00
loop_
_space_group_symop_operation_xyz
'x,y,z'
loop_
_atom_site_label
_atom_site_type_symbol
_atom_site_fract_x
_atom_site_fract_y
_atom_site_fract_z
_atom_site_occupancy
Dy1 Dy 0.103 0.250 0.242 1
Dy2 Dy 0.139 0.750 0.459 1
Dy3 Dy 0.361 0.250 0.959 1
Dy4 Dy 0.397 0.750 0.742 1
Dy5 Dy 0.603 0.250 0.258 1
Dy6 Dy 0.639 0.750 0.041 1
Dy7 Dy 0.861 0.250 0.541 1
Dy8 Dy 0.897 0.750 0.758 1
In1 In 0.037 0.049 0.746 1
In2 In 0.037 0.451 0.746 1
In3 In 0.215 0.547 0.976 1
In4 In 0.215 0.953 0.976 1
In5 In 0.285 0.047 0.476 1
In6 In 0.285 0.453 0.476 1
In7 In 0.463 0.549 0.246 1
In8 In 0.463 0.951 0.246 1
In9 In 0.537 0.049 0.754 1
In10 In 0.537 0.451 0.754 1
In11 In 0.715 0.547 0.524 1
In12 In 0.715 0.953 0.524 1
In13 In 0.785 0.047 0.024 1
In14 In 0.785 0.453 0.024 1
In15 In 0.963 0.549 0.254 1
In16 In 0.963 0.951 0.254 1
Ir1 Ir 0.070 0.750 0.969 1
Ir2 Ir 0.183 0.250 0.758 1
Ir3 Ir 0.317 0.750 0.258 1
Ir4 Ir 0.430 0.250 0.469 1
Ir5 Ir 0.570 0.750 0.531 1
Ir6 Ir 0.683 0.250 0.742 1
Ir7 Ir 0.817 0.750 0.242 1
Ir8 Ir 0.930 0.250 0.031 1
# Calculated density   10.88 g/cm³
# Energy of formation   -526.6 meV per atom
# Energy   -21.05 eV/f.u.

***

Which value of energy of formation does entry 2 give? -526.6 meV per atom

***

Which value of energy of formation does entry 1 give? 56.8 meV per atom

***

The highest energy belongs to which entry? TbY2Mg

***

calculated density of number 1 (TbY2Mg)? 5.03 g/cm³